Entry 1:
# CsBP2Cl | Alexandria via LeMat-Bulk | meta-GGA SCAN | PBEsol geometry
data_CsBP2Cl
_chemical_formula_sum 'Cs1 B1 P2 Cl1'
_cell_length_a 7.1719
_cell_length_b 7.1719
_cell_length_c 6.3456
_cell_angle_alpha 90.00
_cell_angle_beta 90.00
_cell_angle_gamma 90.00
_space_group_name_H-M_alt 'P 1'
_space_group_IT_number 1
loop_
_space_group_symop_operation_xyz
'x,y,z'
loop_
_atom_site_label
_atom_site_type_symbol
_atom_site_fract_x
_atom_site_fract_y
_atom_site_fract_z
Cs1 Cs 0.0000 0.0000 0.0000
B1 B 0.5000 0.5000 0.5000
P1 P 0.0000 0.5000 0.0000
P2 P 0.5000 0.0000 0.0000
Cl1 Cl 0.0000 0.0000 0.5000
# uncorrected formation energy: 9.58 eV/f.u.
# space group: P4/mmm, No. 123

=====

Entry 2:
# CaNiAg2 | Alexandria via LeMat-Bulk | meta-GGA SCAN | PBEsol geometry
data_CaNiAg2
_chemical_formula_sum 'Ca1 Ni1 Ag2'
_cell_length_a 9.2003
_cell_length_b 9.2003
_cell_length_c 9.2003
_cell_angle_alpha 18.90
_cell_angle_beta 18.90
_cell_angle_gamma 18.90
_space_group_name_H-M_alt 'P 1'
_space_group_IT_number 1
loop_
_space_group_symop_operation_xyz
'x,y,z'
loop_
_atom_site_label
_atom_site_type_symbol
_atom_site_fract_x
_atom_site_fract_y
_atom_site_fract_z
Ca1 Ca 0.0000 0.0000 0.0000
Ni1 Ni 0.5000 0.5000 0.5000
Ag1 Ag 0.2397 0.2397 0.2397
Ag2 Ag 0.7603 0.7603 0.7603
# E_form: 43 kJ/mol of atoms
# space group: R-3m, No. 166

=====

Entry 3:
# HfBeCl2 | Alexandria via LeMat-Bulk | meta-GGA SCAN | PBEsol geometry
data_HfBeCl2
_chemical_formula_sum 'Hf2 Be2 Cl4'
_cell_length_a 6.1366
_cell_length_b 6.1366
_cell_length_c 6.1366
_cell_angle_alpha 127.47
_cell_angle_beta 127.47
_cell_angle_gamma 77.48
_space_group_name_H-M_alt 'P 1'
_space_group_IT_number 1
loop_
_space_group_symop_operation_xyz
'x,y,z'
loop_
_atom_site_label
_atom_site_type_symbol
_atom_site_fract_x
_atom_site_fract_y
_atom_site_fract_z
Hf1 Hf 0.0000 0.0000 0.0000
Hf2 Hf 0.7500 0.2500 0.5000
Be1 Be 0.2500 0.7500 0.5000
Be2 Be 0.5000 0.5000 0.0000
Cl1 Cl 0.2065 0.1250 0.5815
Cl2 Cl 0.3750 0.7935 0.9185
Cl3 Cl 0.5435 0.6250 0.4185
Cl4 Cl 0.8750 0.4565 0.0815
# uncorrected formation energy: 0.55 eV/f.u.
# space group: I-42d, No. 122

=====

Entry 4:
# Cd2PtAu | Alexandria via LeMat-Bulk | meta-GGA SCAN | PBEsol geometry
data_Cd2PtAu
_chemical_formula_sum 'Cd2 Pt1 Au1'
_cell_length_a 5.3553
_cell_length_b 5.3553
_cell_length_c 4.8882
_cell_angle_alpha 105.54
_cell_angle_beta 105.54
_cell_angle_gamma 31.64
_space_group_name_H-M_alt 'P 1'
_space_group_IT_number 1
loop_
_space_group_symop_operation_xyz
'x,y,z'
loop_
_atom_site_label
_atom_site_type_symbol
_atom_site_fract_x
_atom_site_fract_y
_atom_site_fract_z
Cd1 Cd 0.0000 0.0000 0.0000
Cd2 Cd 0.2182 0.2182 0.6293
Pt1 Pt 0.7448 0.7448 0.1363
Au1 Au 0.4662 0.4662 0.4814
# E_form: -24 kJ/mol of atoms
# space group: Cm, No. 8

=====

no.,DOS(E_F) (states/eV/atom)
1,0.8091
2,0.6550
3,0.2628
4,0.2626